VASP calculation (PBE) on a geometry-optimized Pm5DyAs6 structure.

```
Pm5DyAs6
1.0
3.6554 -6.3286 0.0000
3.6554 6.3286 0.0000
-2.4389 0.0000 6.8897
Pm Dy As
5 1 6
Direct
0.0000 0.0000 0.0000
0.1664 0.8336 0.5000
0.3325 0.6675 0.0000
0.6675 0.3325 0.0000
0.8336 0.1664 0.5000
0.5000 0.5000 0.5000
0.0881 0.4176 0.2527
0.2532 0.2532 0.7480
0.4176 0.0881 0.2527
0.5824 0.9119 0.7473
0.7468 0.7468 0.2520
0.9119 0.5824 0.7473
```

Computed properties:
**Energy**: -6.2139 eV/atom
**Formation enthalpy at 0 K**: -18.314 eV/f.u.

=====

VASP calculation (PBE) on a geometry-optimized BeSb2OsI structure.

```
BeSb2OsI
1.0
5.0499 0.0000 0.0000
0.0000 5.0499 0.0000
0.0000 0.0000 5.8567
Be Sb Os I
1 2 1 1
Direct
0.0000 0.0000 0.0000
0.0000 0.5000 0.5000
0.5000 0.0000 0.5000
0.5000 0.5000 0.5000
0.5000 0.5000 0.0000
```

Computed properties:
**Energy**: -3.8558 eV/atom
**E above lowest polymorph**: 0.0000 eV per atom

=====

VASP calculation (PBE) on a geometry-optimized TaIn2Mo structure.

```
TaIn2Mo
1.0
4.2093 0.0000 0.0000
0.0000 4.2093 0.0000
0.0000 0.0000 8.5814
Ta In Mo
2 4 2
Direct
0.0000 0.0000 0.0000
0.5000 0.5000 0.5000
0.0000 0.0000 0.5000
0.0000 0.5000 0.7500
0.5000 0.0000 0.2500
0.5000 0.5000 0.0000
0.0000 0.5000 0.2500
0.5000 0.0000 0.7500
```

Computed properties:
**Energy**: -6.6796 eV/atom
**Formation enthalpy at 0 K**: 1.442 eV/f.u.
**E above lowest polymorph**: 0.1689 eV per atom

=====

VASP calculation (PBE) on a geometry-optimized CsNa3As2 structure.

```
CsNa3As2
1.0
8.8745 -2.5646 0.0000
8.8745 2.5646 0.0000
-3.3580 0.0000 8.3729
Cs Na As
2 6 4
Direct
0.1632 0.1632 0.0825
0.8368 0.8368 0.9175
0.0194 0.0194 0.3353
0.3157 0.3157 0.5608
0.3944 0.3944 0.3005
0.6056 0.6056 0.6995
0.6842 0.6842 0.4392
0.9806 0.9806 0.6647
0.1627 0.1627 0.6338
0.4845 0.4845 0.8619
0.5155 0.5155 0.1381
0.8373 0.8373 0.3662
```

Computed properties:
**Energy**: -2.7153 eV/atom
**Formation enthalpy at 0 K**: -2.182 eV/f.u.

=====

VASP calculation (PBE) on a geometry-optimized K2TlPbF8 structure.

```
K2TlPbF8
1.0
3.9649 0.0000 0.0000
0.0000 7.8968 0.0000
-0.0463 0.0000 6.2652
K Tl Pb F
2 1 1 8
Direct
0.0000 0.2446 0.0000
0.0000 0.7554 0.0000
0.5000 0.0000 0.5000
0.5000 0.5000 0.5000
0.0002 0.5000 0.2953
0.9998 0.5000 0.7047
0.0057 0.0000 0.2943
0.4961 0.2451 0.7081
0.4961 0.7549 0.7081
0.5039 0.2451 0.2919
0.5039 0.7549 0.2919
0.9943 0.0000 0.7057
```

Computed properties:
**Energy**: -4.1951 eV/atom

=====

VASP calculation (PBE) on a geometry-optimized PmTh2PaP4 structure.

```
PmTh2PaP4
1.0
7.0850 0.0000 0.0000
0.0000 4.0942 0.0000
-2.3629 0.0000 6.6818
Pm Th Pa P
1 2 1 4
Direct
0.0000 0.0000 0.0000
0.0000 0.5000 0.5000
0.5000 0.0000 0.5000
0.5000 0.5000 0.0000
0.2557 0.5000 0.2445
0.2590 0.0000 0.7602
0.7410 0.0000 0.2398
0.7443 0.5000 0.7555
```

Computed properties:
**Energy**: -7.8330 eV/atom
**Formation enthalpy at 0 K**: -11.938 eV/f.u.

=====

VASP calculation (PBE) on a geometry-optimized As2Cl structure.

```
As2Cl
1.0
5.7994 0.0000 0.0000
0.0000 7.3622 0.0000
0.0000 0.0000 6.0142
As Cl
4 2
Direct
0.0963 0.1293 0.0000
0.4037 0.6293 0.5000
0.5963 0.3707 0.5000
0.9037 0.8707 0.0000
0.0000 0.5000 0.5000
0.5000 0.0000 0.0000
```

Computed properties:
**Energy**: -3.4523 eV/atom
**E above lowest polymorph**: 0.5340 eV per atom

=====

VASP calculation (PBE) on a geometry-optimized NbNi2Pd8 structure.

```
NbNi2Pd8
1.0
4.9485 -4.4044 0.0000
4.9485 4.4044 0.0000
-1.1838 0.0000 4.3384
Nb Ni Pd
1 2 8
Direct
0.0000 0.0000 0.0000
0.1388 0.1388 0.5352
0.8612 0.8612 0.4648
0.1565 0.6659 0.2085
0.2648 0.2648 0.1088
0.3341 0.8435 0.7915
0.4178 0.4178 0.7008
0.5822 0.5822 0.2992
0.6659 0.1565 0.2085
0.7352 0.7352 0.8912
0.8435 0.3341 0.7915
```

Computed properties:
**Energy**: -5.5368 eV/atom
**Formation enthalpy at 0 K**: 2.270 eV/f.u.